Record 1
Hf2BeHg | GGA-PBE | relaxed

abc: 4.787 4.787 4.787
angles: 60.00 60.00 60.00
Site moments in Bohr magnetons follow the coordinates.
Fractional positions:
Be: 0.500 0.500 0.500  0.00
Hg: 0.250 0.250 0.250  0.03
Hf: 0.000 0.000 0.000  0.65
Hf: 0.750 0.750 0.750  0.71

- Uncorrected energy: -21.69 eV per cell
- SG: No. 216

=====

Record 2
HfBeNiHg | GGA-PBE | relaxed

abc: 4.385 4.385 4.385
angles: 60.00 60.00 60.00
Fractional positions:
Hg: 0.000 0.000 0.000
Ni: 0.250 0.250 0.250
Be: 0.750 0.750 0.750
Hf: 0.500 0.500 0.500

- SG: No. 216
- E above lowest polymorph: 0.00 eV/f.u.

=====

Record 3
HfBeNiHg | GGA-PBE | relaxed

abc: 4.461 4.461 4.461
angles: 60.00 60.00 60.00
Fractional positions:
Hg: 0.000 0.000 0.000
Be: 0.750 0.750 0.750
Hf: 0.250 0.250 0.250
Ni: 0.500 0.500 0.500

- SG: No. 216
- E above lowest polymorph: 0.48 eV/f.u.

=====

Record 4
HfBeNiHg | GGA-PBE | relaxed

abc: 4.446 4.446 4.446
angles: 60.00 60.00 60.00
Fractional positions:
Hf: 0.000 0.000 0.000
Be: 0.750 0.750 0.750
Hg: 0.250 0.250 0.250
Ni: 0.500 0.500 0.500

- SG: No. 216
- E above lowest polymorph: 0.74 eV/f.u.

=====

Record 5
HfBeHgPt | GGA-PBE | relaxed

abc: 4.538 4.538 4.538
angles: 60.00 60.00 60.00
Fractional positions:
Pt: 0.500 0.500 0.500
Be: 0.750 0.750 0.750
Hf: 0.000 0.000 0.000
Hg: 0.250 0.250 0.250

- SG: No. 216
- E above lowest polymorph: 0.58 eV/f.u.

=====

Record 6
HfBeHgPt | GGA-PBE | relaxed

abc: 4.556 4.556 4.556
angles: 60.00 60.00 60.00
Fractional positions:
Hg: 0.000 0.000 0.000
Pt: 0.250 0.250 0.250
Hf: 0.500 0.500 0.500
Be: 0.750 0.750 0.750

- SG: No. 216
- E above lowest polymorph: 0.10 eV/f.u.

=====

Record 7
HfBeHgPt | GGA-PBE | relaxed

abc: 4.576 4.576 4.576
angles: 60.00 60.00 60.00
Fractional positions:
Hf: 0.250 0.250 0.250
Pt: 0.500 0.500 0.500
Hg: 0.000 0.000 0.000
Be: 0.750 0.750 0.750

- SG: No. 216
- E above lowest polymorph: 0.00 eV/f.u.

=====

Record 8
HoHfBe2Si2 | GGA-PBE | relaxed

abc: 3.766 3.766 7.605
angles: 90.00 90.00 120.00
Fractional positions:
Be: 0.333 0.667 0.772
Si: 0.667 0.333 0.764
Ho: 0.000 0.000 0.500
Be: 0.667 0.333 0.228
Si: 0.333 0.667 0.236
Hf: 0.000 0.000 0.000

- Uncorrected energy: -36.80 eV per cell
- SG: No. 164

=====

Record 9
HfBeIn2 | GGA-PBE | relaxed

abc: 4.850 4.850 4.850
angles: 60.00 60.00 60.00
Fractional positions:
In: 0.250 0.250 0.250
In: 0.000 0.000 0.000
Be: 0.750 0.750 0.750
Hf: 0.500 0.500 0.500

- Uncorrected energy: -17.23 eV per cell
- SG: No. 216

=====

Record 10
HfBe2In | GGA-PBE | relaxed

abc: 4.507 4.507 4.507
angles: 60.00 60.00 60.00
Fractional positions:
Hf: 0.250 0.250 0.250
Be: 0.750 0.750 0.750
In: 0.500 0.500 0.500
Be: 0.000 0.000 0.000

- Uncorrected energy: -18.09 eV per cell
- SG: No. 216

=====

Record 11
Hf2BeIn | GGA-PBE | relaxed

abc: 4.785 4.785 4.785
angles: 60.00 60.00 60.00
Fractional positions:
In: 0.500 0.500 0.500
Hf: 0.000 0.000 0.000
Hf: 0.750 0.750 0.750
Be: 0.250 0.250 0.250

- Uncorrected energy: -24.37 eV per cell
- SG: No. 216

=====

Record 12
HfBeInNi | GGA-PBE | relaxed

abc: 4.396 4.396 4.396
angles: 60.00 60.00 60.00
Fractional positions:
Ni: 0.750 0.750 0.750
In: 0.000 0.000 0.000
Be: 0.250 0.250 0.250
Hf: 0.500 0.500 0.500

- SG: No. 216
- E above lowest polymorph: 0.00 eV/f.u.